The following is a DFT calculation (PBEsol) of crystalline LiAg at its relaxed geometry.

Unit cell a=2.800 b=4.817 c=4.679 alpha=90.00 beta=90.00 gamma=90.00
Element x y z (fractional)
Ag (0.000, 0.400, 0.000)
Ag (0.500, 0.600, 0.500)
Li (0.500, 0.893, 0.000)
Li (0.000, 0.107, 0.500)

Computed properties:
- ΔH_f (0 K): -0.152 eV per atom
- Spin magnetization: 0.000 μB per atom
- Energy: -11.16 eV/cell
- D(E_F): 0.62 states/eV/f.u.
- Theoretical density: 6.04 g/cm³

=====

The following is a DFT calculation (PBEsol) of crystalline BeCu3 at its relaxed geometry.

Unit cell a=2.590 b=2.584 c=6.169 alpha=90.00 beta=90.00 gamma=90.00
Element x y z (fractional)
Be (0.000, 0.000, 0.000)
Cu (0.500, 0.500, 0.778)
Cu (0.000, 0.000, 0.500)
Cu (0.500, 0.500, 0.222)

Computed properties:
- ΔH_f (0 K): -0.055 eV per atom
- Spin magnetization: 0.000 μB per atom
- Energy: -17.22 eV/cell
- D(E_F): 0.85 states/eV/f.u.
- Theoretical density: 8.03 g/cm³

=====

The following is a DFT calculation (PBEsol) of crystalline ZnAgPt2 at its relaxed geometry.

Unit cell a=2.760 b=3.858 c=5.610 alpha=90.00 beta=90.21 gamma=90.00
Element x y z (fractional)
Ag (0.498, 0.500, 0.749)
Pt (0.000, 0.000, 0.002)
Pt (0.502, 0.500, 0.263)
Zn (0.000, 0.000, 0.486)

Computed properties:
- ΔH_f (0 K): -0.184 eV per atom
- Spin magnetization: 0.000 μB per atom
- Energy: -19.56 eV/cell
- D(E_F): 1.82 states/eV/f.u.
- Theoretical density: 15.67 g/cm³

=====

The following is a DFT calculation (PBEsol) of crystalline CoOsCl2 at its relaxed geometry.

Unit cell a=2.885 b=2.915 c=8.392 alpha=100.00 beta=99.90 gamma=90.00
Site moments in Bohr magnetons follow the coordinates.
Element x y z (fractional)
Co (0.437, 0.437, 0.875)  1.92
Os (0.819, 0.319, 0.638)  0.57
Cl (0.021, 0.021, 0.042)  0.18
Cl (0.223, 0.723, 0.445)  0.04

Computed properties:
- Spin magnetization: 0.703 μB per atom
- E above lowest polymorph: 0.57 eV per formula unit
- Energy: -21.67 eV/cell
- D(E_F): 4.18 states/eV/f.u.
- Theoretical density: 7.77 g/cm³
- Formation energy from raw total energies: 0.5748 eV/atom

=====

The following is a DFT calculation (PBEsol) of crystalline Ba2LiHg at its relaxed geometry.

Unit cell a=4.215 b=5.839 c=5.839 alpha=90.00 beta=90.00 gamma=90.00
Element x y z (fractional)
Ba (0.000, 0.000, 0.500)
Ba (0.000, 0.500, 0.000)
Hg (0.500, 0.500, 0.500)
Li (0.500, 0.000, 0.000)

Computed properties:
- ΔH_f (0 K): -0.268 eV per atom
- Spin magnetization: 0.000 μB per atom
- Energy: -7.90 eV/cell
- D(E_F): 4.23 states/eV/f.u.
- Theoretical density: 5.57 g/cm³

=====

The following is a DFT calculation (PBEsol) of crystalline Nb2Tc2H at its relaxed geometry.

Unit cell a=4.239 b=4.239 c=5.992 alpha=110.72 beta=110.72 gamma=90.00
Element x y z (fractional)
H (0.000, 0.000, 0.000)
Nb (0.250, 0.750, 0.500)
Nb (0.750, 0.250, 0.500)
Tc (0.384, 0.384, 0.767)
Tc (0.616, 0.616, 0.233)

Computed properties:
- Spin magnetization: 0.000 μB per atom
- Energy: -41.37 eV/cell
- D(E_F): 4.17 states/eV/f.u.
- Theoretical density: 6.82 g/cm³